Model A:
Material: ScTlTc2
Method: DFT, PBE
State: optimized geometry

Output
theoretical density: 10.4 Mg/m³

Cell and atoms, written as CIF:
```
data_ScTlTc2
_chemical_formula_sum 'Sc2 Tl2 Tc4'
_cell_length_a 3.346
_cell_length_b 4.589
_cell_length_c 9.243
_cell_angle_alpha 90.00
_cell_angle_beta 90.00
_cell_angle_gamma 90.00
_space_group_name_H-M_alt 'I m m m'
_space_group_IT_number 71
_space_group_name_Hall '-I 2 2'
loop_
_atom_site_label
_atom_site_type_symbol
_atom_site_fract_x
_atom_site_fract_y
_atom_site_fract_z
_atom_site_occupancy
Sc1 Sc 0.000 0.000 0.000 1
Tl1 Tl 0.000 0.000 0.500 1
Tc1 Tc 0.000 0.500 0.259 1
```

=====

Model B:
Material: ScTlTc2
Method: DFT, PBE
State: optimized geometry

Output
theoretical density: 10.2 Mg/m³

Cell and atoms, written as CIF:
```
data_ScTlTc2
_chemical_formula_sum 'Sc1 Tl1 Tc2'
_cell_length_a 3.075
_cell_length_b 4.073
_cell_length_c 5.825
_cell_angle_alpha 90.00
_cell_angle_beta 95.55
_cell_angle_gamma 90.00
_space_group_name_H-M_alt 'P 1 m 1'
_space_group_IT_number 6
_space_group_name_Hall 'P -2y'
loop_
_atom_site_label
_atom_site_type_symbol
_atom_site_fract_x
_atom_site_fract_y
_atom_site_fract_z
_atom_site_occupancy
Sc1 Sc 0.000 0.000 0.000 1
Tl1 Tl 0.444 0.500 0.718 1
Tc1 Tc 0.497 0.500 0.240 1
Tc2 Tc 0.896 0.000 0.426 1
```

=====

Which of them is least stable? Easy: model A.

=====

Model A:
Material: ScTlTc2
Method: DFT, PBE
State: optimized geometry

Output
theoretical density: 9.3 Mg/m³

Cell and atoms, written as CIF:
```
data_ScTlTc2
_chemical_formula_sum 'Sc2 Tl2 Tc4'
_cell_length_a 9.789
_cell_length_b 3.206
_cell_length_c 5.153
_cell_angle_alpha 90.00
_cell_angle_beta 101.22
_cell_angle_gamma 90.00
_space_group_name_H-M_alt 'C 1 2/m 1'
_space_group_IT_number 12
_space_group_name_Hall '-C 2y'
loop_
_atom_site_label
_atom_site_type_symbol
_atom_site_fract_x
_atom_site_fract_y
_atom_site_fract_z
_atom_site_occupancy
Sc1 Sc 0.000 0.000 0.000 1
Tl1 Tl 0.000 0.500 0.500 1
Tc1 Tc 0.242 0.000 0.824 1
```

=====

Model B:
Material: ScTlTc2
Method: DFT, PBE
State: optimized geometry

Output
theoretical density: 9.1 Mg/m³

Cell and atoms, written as CIF:
```
data_ScTlTc2
_chemical_formula_sum 'Sc4 Tl4 Tc8'
_cell_length_a 4.084
_cell_length_b 4.084
_cell_length_c 19.514
_cell_angle_alpha 90.00
_cell_angle_beta 90.00
_cell_angle_gamma 90.00
_space_group_name_H-M_alt 'I -4 2 d'
_space_group_IT_number 122
_space_group_name_Hall 'I -4 2bw'
loop_
_atom_site_label
_atom_site_type_symbol
_atom_site_fract_x
_atom_site_fract_y
_atom_site_fract_z
_atom_site_occupancy
Sc1 Sc 0.000 0.000 0.000 1
Tl1 Tl 0.000 0.000 0.500 1
Tc1 Tc 0.163 0.250 0.125 1
```

=====

Which of them is least stable? Easy: model B.

=====

Model A:
Material: ScTlTc2
Method: DFT, PBE
State: optimized geometry

Output
theoretical density: 9.9 Mg/m³

Cell and atoms, written as CIF:
```
data_ScTlTc2
_chemical_formula_sum 'Sc1 Tl1 Tc2'
_cell_length_a 3.045
_cell_length_b 3.045
_cell_length_c 8.048
_cell_angle_alpha 90.00
_cell_angle_beta 90.00
_cell_angle_gamma 90.00
_space_group_name_H-M_alt 'P 4 m m'
_space_group_IT_number 99
_space_group_name_Hall 'P 4 -2'
loop_
_atom_site_label
_atom_site_type_symbol
_atom_site_fract_x
_atom_site_fract_y
_atom_site_fract_z
_atom_site_occupancy
Sc1 Sc 0.000 0.000 0.000 1
Tl1 Tl 0.500 0.500 0.691 1
Tc1 Tc 0.000 0.000 0.415 1
Tc2 Tc 0.500 0.500 0.242 1
```

=====

Model B:
Material: ScTlTc2
Method: DFT, PBE
State: optimized geometry

Output
theoretical density: 10.3 Mg/m³

Cell and atoms, written as CIF:
```
data_ScTlTc2
_chemical_formula_sum 'Sc2 Tl2 Tc4'
_cell_length_a 3.407
_cell_length_b 4.561
_cell_length_c 9.222
_cell_angle_alpha 90.00
_cell_angle_beta 90.00
_cell_angle_gamma 90.00
_space_group_name_H-M_alt 'I m m 2'
_space_group_IT_number 44
_space_group_name_Hall 'I 2 -2'
loop_
_atom_site_label
_atom_site_type_symbol
_atom_site_fract_x
_atom_site_fract_y
_atom_site_fract_z
_atom_site_occupancy
Sc1 Sc 0.000 0.000 0.000 1
Tl1 Tl 0.000 0.500 0.225 1
Tc1 Tc 0.000 0.000 0.466 1
Tc2 Tc 0.000 0.500 0.757 1
```

=====

Which of them is least stable? Easy: model B.

=====

Model A:
Material: ScTlTc2
Method: DFT, PBE
State: optimized geometry

Output
theoretical density: 9.8 Mg/m³

Cell and atoms, written as CIF:
```
data_ScTlTc2
_chemical_formula_sum 'Sc3 Tl3 Tc6'
_cell_length_a 3.1050
_cell_length_b 3.1050
_cell_length_c 26.9965
_cell_angle_alpha 90.00
_cell_angle_beta 90.00
_cell_angle_gamma 120.00
_space_group_name_H-M_alt 'R 3 m'
_space_group_IT_number 160
_space_group_name_Hall 'R 3 -2"'
loop_
_atom_site_label
_atom_site_type_symbol
_atom_site_fract_x
_atom_site_fract_y
_atom_site_fract_z
_atom_site_occupancy
Sc1 Sc 0.0000 0.0000 0.0000 1
Tl1 Tl 0.0000 0.0000 0.2360 1
Tc1 Tc 0.0000 0.0000 0.4800 1
Tc2 Tc 0.0000 0.0000 0.7458 1
```

=====

Model B:
Material: ScTlTc2
Method: DFT, PBE
State: optimized geometry

Output
theoretical density: 10.5 Mg/m³

Cell and atoms, written as CIF:
```
data_ScTlTc2
_chemical_formula_sum 'Sc4 Tl4 Tc8'
_cell_length_a 6.557
_cell_length_b 6.557
_cell_length_c 6.557
_cell_angle_alpha 90.00
_cell_angle_beta 90.00
_cell_angle_gamma 90.00
_space_group_name_H-M_alt 'F m -3 m'
_space_group_IT_number 225
_space_group_name_Hall '-F 4 2 3'
loop_
_atom_site_label
_atom_site_type_symbol
_atom_site_fract_x
_atom_site_fract_y
_atom_site_fract_z
_atom_site_occupancy
Sc1 Sc 0.000 0.000 0.000 1
Tl1 Tl 0.000 0.000 0.500 1
Tc1 Tc 0.250 0.250 0.250 1
```

=====

Which of them is least stable? Easy: model B.

=====

Model A:
Material: ScTlTc2
Method: DFT, PBE
State: optimized geometry

Output
theoretical density: 10.5 Mg/m³

Cell and atoms, written as CIF:
```
data_ScTlTc2
_chemical_formula_sum 'Sc2 Tl2 Tc4'
_cell_length_a 4.286
_cell_length_b 4.286
_cell_length_c 7.647
_cell_angle_alpha 90.00
_cell_angle_beta 90.00
_cell_angle_gamma 90.00
_space_group_name_H-M_alt 'I -4 m 2'
_space_group_IT_number 119
_space_group_name_Hall 'I -4 -2'
loop_
_atom_site_label
_atom_site_type_symbol
_atom_site_fract_x
_atom_site_fract_y
_atom_site_fract_z
_atom_site_occupancy
Sc1 Sc 0.000 0.000 0.000 1
Tl1 Tl 0.000 0.500 0.250 1
Tc1 Tc 0.000 0.000 0.500 1
Tc2 Tc 0.000 0.500 0.750 1
```

=====

Model B:
Material: ScTlTc2
Method: DFT, PBE
State: optimized geometry

Output
theoretical density: 9.5 Mg/m³

Cell and atoms, written as CIF:
```
data_ScTlTc2
_chemical_formula_sum 'Sc1 Tl1 Tc2'
_cell_length_a 3.012
_cell_length_b 4.520
_cell_length_c 5.876
_cell_angle_alpha 90.00
_cell_angle_beta 103.47
_cell_angle_gamma 90.00
_space_group_name_H-M_alt 'P 1 2/m 1'
_space_group_IT_number 10
_space_group_name_Hall '-P 2y'
loop_
_atom_site_label
_atom_site_type_symbol
_atom_site_fract_x
_atom_site_fract_y
_atom_site_fract_z
_atom_site_occupancy
Sc1 Sc 0.000 0.000 0.000 1
Tl1 Tl 0.500 0.000 0.500 1
Tc1 Tc 0.392 0.500 0.804 1
```

=====

Model C:
Material: ScTlTc2
Method: DFT, PBE
State: optimized geometry

Output
theoretical density: 9.7 Mg/m³

Cell and atoms, written as CIF:
```
data_ScTlTc2
_chemical_formula_sum 'Sc1 Tl1 Tc2'
_cell_length_a 3.090
_cell_length_b 4.192
_cell_length_c 5.910
_cell_angle_alpha 90.00
_cell_angle_beta 90.00
_cell_angle_gamma 90.00
_space_group_name_H-M_alt 'P m m m'
_space_group_IT_number 47
_space_group_name_Hall '-P 2 2'
loop_
_atom_site_label
_atom_site_type_symbol
_atom_site_fract_x
_atom_site_fract_y
_atom_site_fract_z
_atom_site_occupancy
Sc1 Sc 0.000 0.000 0.000 1
Tl1 Tl 0.000 0.000 0.500 1
Tc1 Tc 0.500 0.500 0.194 1
```

=====

Which of them is least stable? Easy: model C.

=====

Model A:
Material: ScTlTc2
Method: DFT, PBE
State: optimized geometry

Output
theoretical density: 10.6 Mg/m³

Cell and atoms, written as CIF:
```
data_ScTlTc2
_chemical_formula_sum 'Sc1 Tl1 Tc2'
_cell_length_a 4.067
_cell_length_b 4.067
_cell_length_c 4.226
_cell_angle_alpha 90.00
_cell_angle_beta 90.00
_cell_angle_gamma 90.00
_space_group_name_H-M_alt 'P 4/m m m'
_space_group_IT_number 123
_space_group_name_Hall '-P 4 2'
loop_
_atom_site_label
_atom_site_type_symbol
_atom_site_fract_x
_atom_site_fract_y
_atom_site_fract_z
_atom_site_occupancy
Sc1 Sc 0.000 0.000 0.000 1
Tl1 Tl 0.500 0.500 0.000 1
Tc1 Tc 0.000 0.500 0.500 1
```

=====

Model B:
Material: ScTlTc2
Method: DFT, PBE
State: optimized geometry

Output
theoretical density: 10.2 Mg/m³

Cell and atoms, written as CIF:
```
data_ScTlTc2
_chemical_formula_sum 'Sc3 Tl3 Tc6'
_cell_length_a 3.0691
_cell_length_b 3.0691
_cell_length_c 26.7916
_cell_angle_alpha 90.00
_cell_angle_beta 90.00
_cell_angle_gamma 120.00
_space_group_name_H-M_alt 'R -3 m'
_space_group_IT_number 166
_space_group_name_Hall '-R 3 2"'
loop_
_atom_site_label
_atom_site_type_symbol
_atom_site_fract_x
_atom_site_fract_y
_atom_site_fract_z
_atom_site_occupancy
Sc1 Sc 0.0000 0.0000 0.0000 1
Tl1 Tl 0.0000 0.0000 0.5000 1
Tc1 Tc 0.0000 0.0000 0.2520 1
```

=====

Which of them is least stable? Easy: model B.